[1]
Entry from the Alexandria database: an optimized crystal structure of AlZnGa3 (PBE).

The formation energy is 98 meV/atom. The crystal system is monoclinic. The energy relative to the lowest polymorph listed for this composition comes out at 0.31 eV per formula unit.

The space group is C2/c (No. 15) and the conventional cell measures 13.0988, 9.6051 and 6.0209 Å, with angles of 90.00, 90.30 and 90.00 degrees. The distinct sites, in fractional coordinates, are Al at (0.2488, 0.0172, 0.0756), Zn at (0.0000, 0.1682, 0.7500), Zn at (0.0000, 0.3330, 0.2500), Ga at (0.0876, 0.0905, 0.3709), Ga at (0.0895, 0.4085, 0.6307) and Ga at (0.2444, 0.2726, 0.2323).

=====

[2]
Entry from the Alexandria database: an optimized crystal structure of DyCo5P3 (PBE).

The formation energy is -843 meV/atom. The crystal system is orthorhombic. The energy relative to the lowest polymorph listed for this composition comes out at 0.00 eV per formula unit.

The space group is Pnma (No. 62) and the conventional cell measures 11.7229, 3.6447 and 10.2823 Å, with angles of 90.00, 90.00 and 90.00 degrees. The distinct sites, in fractional coordinates, are Dy at (0.2026, 0.2500, 0.0830), Co at (0.0083, 0.7500, 0.7164), Co at (0.0120, 0.7500, 0.0932), Co at (0.0681, 0.7500, 0.4678), Co at (0.1761, 0.2500, 0.7789), Co at (0.1983, 0.2500, 0.3828), P at (0.1088, 0.7500, 0.8980), P at (0.1122, 0.2500, 0.5816) and P at (0.1300, 0.7500, 0.2710).

=====

[3]
Entry from the Alexandria database: an optimized crystal structure of DyC2N3 (PBE).

The value obtained for the raw formation energy is 49 kJ/mol of formula units. The crystal system is orthorhombic.

The space group is Cmm2 (No. 35) and the conventional cell measures 5.8514, 7.6369 and 3.6247 Å, with angles of 90.00, 90.00 and 90.00 degrees. The distinct sites, in fractional coordinates, are Dy at (0.0000, 0.0000, 0.0000), C at (0.0000, 0.3414, 0.3803), N at (0.0000, 0.1924, 0.5236) and N at (0.0000, 0.5000, 0.5367).

=====

[4]
Entry from the Alexandria database: an optimized crystal structure of Ag2Sb2Cl (PBE).

The value obtained for the raw formation energy is 71 kJ/mol of formula units. The crystal system is tetragonal. The energy relative to the lowest polymorph listed for this composition comes out at 0.47 eV per formula unit.

The space group is I4/mmm (No. 139) and the conventional cell measures 4.2785, 4.2785 and 14.3090 Å, with angles of 90.00, 90.00 and 90.00 degrees. The distinct sites, in fractional coordinates, are Ag at (0.0000, 0.0000, 0.1014), Sb at (0.0000, 0.5000, 0.2500) and Cl at (0.0000, 0.0000, 0.5000).

=====

[5]
Entry from the Alexandria database: an optimized crystal structure of InTcRh2 (PBE).

The formation energy is 32 meV/atom. The crystal system is tetragonal.

The space group is I-4m2 (No. 119) and the conventional cell measures 3.9364, 3.9364 and 8.0763 Å, with angles of 90.00, 90.00 and 90.00 degrees. The distinct sites, in fractional coordinates, are In at (0.0000, 0.0000, 0.0000), Tc at (0.0000, 0.5000, 0.2500), Rh at (0.0000, 0.0000, 0.5000) and Rh at (0.0000, 0.5000, 0.7500).

=====

[6]
Entry from the Alexandria database: an optimized crystal structure of NiAgCl2 (PBE).

The value obtained for the raw formation energy is -47 kJ/mol of formula units. The crystal system is orthorhombic. The energy relative to the lowest polymorph listed for this composition comes out at 0.67 eV per formula unit.

The space group is Cmmm (No. 65) and the conventional cell measures 3.3564, 6.6658 and 7.5366 Å, with angles of 90.00, 90.00 and 90.00 degrees. The distinct sites, in fractional coordinates, are Ni at (0.0000, 0.0000, 0.0000), Ag at (0.0000, 0.0000, 0.5000) and Cl at (0.0000, 0.5000, 0.2130).

=====

[7]
Entry from the Alexandria database: an optimized crystal structure of TbCeCo2 (PBE).

The formation energy is -138 meV/atom. The crystal system is tetragonal.

The space group is P4/mmm (No. 123) and the conventional cell measures 3.3412, 3.3412 and 6.7223 Å, with angles of 90.00, 90.00 and 90.00 degrees. The distinct sites, in fractional coordinates, are Tb at (0.0000, 0.0000, 0.0000), Ce at (0.0000, 0.0000, 0.5000) and Co at (0.5000, 0.5000, 0.2813).

=====

[8]
Entry from the Alexandria database: an optimized crystal structure of LaMgTcRu2 (PBE).

The formation energy is 491 meV/atom. The crystal system is tetragonal.

The space group is P4/mmm (No. 123) and the conventional cell measures 4.7471, 4.7471 and 4.8532 Å, with angles of 90.00, 90.00 and 90.00 degrees. The distinct sites, in fractional coordinates, are La at (0.0000, 0.0000, 0.0000), Mg at (0.5000, 0.5000, 0.0000), Tc at (0.5000, 0.5000, 0.5000) and Ru at (0.0000, 0.5000, 0.5000).

=====

[9]
Entry from the Alexandria database: an optimized crystal structure of BaCr2Cu (PBE).

The formation energy is 760 meV/atom. The crystal system is monoclinic. The energy relative to the lowest polymorph listed for this composition comes out at 0.76 eV per formula unit.

The space group is C2/m (No. 12) and the conventional cell measures 9.0932, 3.1630 and 5.9272 Å, with angles of 90.00, 100.94 and 90.00 degrees. The distinct sites, in fractional coordinates, are Ba at (0.0000, 0.0000, 0.0000), Cr at (0.2178, 0.0000, 0.6004) and Cu at (0.0000, 0.5000, 0.5000).

=====

[10]
Entry from the Alexandria database: an optimized crystal structure of RbZrTl2Br8 (PBE).

The value obtained for the raw formation energy is -1290 kJ/mol of formula units. The crystal system is triclinic.

The space group is P-1 (No. 2) and the conventional cell measures 6.9090, 7.3597 and 9.5724 Å, with angles of 89.87, 89.55 and 89.21 degrees. The distinct sites, in fractional coordinates, are Rb at (0.0000, 0.0000, 0.0000), Zr at (0.0000, 0.0000, 0.5000), Tl at (0.4972, 0.4994, 0.2485), Br at (0.2079, 0.3015, 0.5013), Br at (0.2298, 0.8612, 0.6954), Br at (0.2330, 0.8654, 0.3025) and Br at (0.2773, 0.3697, 0.0001).

=====

[11]
Entry from the Alexandria database: an optimized crystal structure of Nd4Ga12Sn (PBE).

The formation energy is -499 meV/atom. The crystal system is cubic.

The space group is Im-3m (No. 229) and the conventional cell measures 8.9984, 8.9984 and 8.9984 Å, with angles of 90.00, 90.00 and 90.00 degrees. The distinct sites, in fractional coordinates, are Nd at (0.2500, 0.2500, 0.2500), Ga at (0.0000, 0.0000, 0.3222), Ga at (0.0000, 0.2500, 0.5000) and Sn at (0.0000, 0.0000, 0.0000).

=====

[12]
Entry from the Alexandria database: an optimized crystal structure of InRhN3 (PBE).

The value obtained for the raw formation energy is 1181 kJ/mol of formula units. The crystal system is cubic.

The space group is Pm-3m (No. 221) and the conventional cell measures 4.0889, 4.0889 and 4.0889 Å, with angles of 90.00, 90.00 and 90.00 degrees. The distinct sites, in fractional coordinates, are In at (0.0000, 0.0000, 0.0000), Rh at (0.5000, 0.5000, 0.5000) and N at (0.0000, 0.0000, 0.5000).

=====

[13]
Entry from the Alexandria database: an optimized crystal structure of Mg7Ag (PBE).

The formation energy is -40 meV/atom. The crystal system is tetragonal. The energy relative to the lowest polymorph listed for this composition comes out at 0.00 eV per formula unit.

The space group is I4/mmm (No. 139) and the conventional cell measures 4.3523, 4.3523 and 18.2712 Å, with angles of 90.00, 90.00 and 90.00 degrees. The distinct sites, in fractional coordinates, are Mg at (0.0000, 0.0000, 0.0000), Mg at (0.0000, 0.0000, 0.2483), Mg at (0.0000, 0.5000, 0.1191) and Ag at (0.0000, 0.0000, 0.5000).

=====

[14]
Entry from the Alexandria database: an optimized crystal structure of Cd2GaAu3 (PBE).

The formation energy is -115 meV/atom. The crystal system is monoclinic. The energy relative to the lowest polymorph listed for this composition comes out at 0.14 eV per formula unit.

The space group is C2/c (No. 15) and the conventional cell measures 5.9321, 12.4098 and 7.3878 Å, with angles of 90.00, 113.45 and 90.00 degrees. The distinct sites, in fractional coordinates, are Cd at (0.0000, 0.0648, 0.2500), Cd at (0.0000, 0.2129, 0.7500), Ga at (0.0000, 0.3974, 0.2500), Au at (0.1620, 0.4194, 0.9554) and Au at (0.2500, 0.2500, 0.5000).

=====

[15]
Entry from the Alexandria database: an optimized crystal structure of NdDyGaRh (PBE).

The formation energy is -596 meV/atom. The crystal system is cubic. The energy relative to the lowest polymorph listed for this composition comes out at 0.37 eV per formula unit.

The space group is F-43m (No. 216) and the conventional cell measures 7.1395, 7.1395 and 7.1395 Å, with angles of 90.00, 90.00 and 90.00 degrees. The distinct sites, in fractional coordinates, are Nd at (0.0000, 0.0000, 0.0000), Dy at (0.0000, 0.0000, 0.5000), Ga at (0.2500, 0.2500, 0.7500) and Rh at (0.2500, 0.2500, 0.2500).

=====

[16]
Entry from the Alexandria database: an optimized crystal structure of InPdAu3 (PBE).

The formation energy is -92 meV/atom. The crystal system is orthorhombic. The energy relative to the lowest polymorph listed for this composition comes out at 0.62 eV per formula unit.

The space group is Cmcm (No. 63) and the conventional cell measures 4.1779, 10.9517 and 8.7489 Å, with angles of 90.00, 90.00 and 90.00 degrees. The distinct sites, in fractional coordinates, are In at (0.0000, 0.1515, 0.2500), Pd at (0.0000, 0.5001, 0.2500), Au at (0.0000, 0.1662, 0.7500) and Au at (0.0000, 0.3482, 0.0039).

=====

[17]
Entry from the Alexandria database: an optimized crystal structure of Li2AlGeB (PBE).

The formation energy is 704 meV/atom. The crystal system is tetragonal.

The space group is P4/mmm (No. 123) and the conventional cell measures 5.0046, 5.0046 and 3.8592 Å, with angles of 90.00, 90.00 and 90.00 degrees. The distinct sites, in fractional coordinates, are Li at (0.0000, 0.5000, 0.0000), Al at (0.0000, 0.0000, 0.0000), Ge at (0.5000, 0.5000, 0.5000) and B at (0.0000, 0.0000, 0.5000).

=====

[18]
Entry from the Alexandria database: an optimized crystal structure of TcPdO4 (PBE).

The value obtained for the raw formation energy is -565 kJ/mol of formula units. The crystal system is tetragonal. The energy relative to the lowest polymorph listed for this composition comes out at 0.00 eV per formula unit.

The space group is I-4 (No. 82) and the conventional cell measures 6.9455, 6.9455 and 4.4918 Å, with angles of 90.00, 90.00 and 90.00 degrees. The distinct sites, in fractional coordinates, are Tc at (0.0000, 0.0000, 0.0000), Pd at (0.0000, 0.5000, 0.7500) and O at (0.0346, 0.2030, 0.7696).

=====

[19]
Entry from the Alexandria database: an optimized crystal structure of YZrTc2 (PBE).

The formation energy is 205 meV/atom. The crystal system is monoclinic.

The space group is C2/m (No. 12) and the conventional cell measures 8.4507, 3.2569 and 5.9391 Å, with angles of 90.00, 100.68 and 90.00 degrees. The distinct sites, in fractional coordinates, are Y at (0.0000, 0.0000, 0.0000), Zr at (0.0000, 0.5000, 0.5000) and Tc at (0.2438, 0.0000, 0.7069).

=====

[20]
Entry from the Alexandria database: an optimized crystal structure of UPb2 (PBE).

The formation energy is 128 meV/atom. The crystal system is triclinic.

The space group is P-1 (No. 2) and the conventional cell measures 3.6786, 5.9718 and 8.4143 Å, with angles of 73.11, 89.93 and 72.07 degrees. The distinct sites, in fractional coordinates, are U at (0.2030, 0.0938, 0.0599), Pb at (0.1519, 0.1983, 0.6005) and Pb at (0.4858, 0.5292, 0.7936).

=====

[21]
Entry from the Alexandria database: an optimized crystal structure of BaMnN (PBE).

The value obtained for the raw formation energy is -5 kJ/mol of formula units. The crystal system is orthorhombic.

The space group is Ima2 (No. 46) and the conventional cell measures 7.6624, 13.5102 and 8.1283 Å, with angles of 90.00, 90.00 and 90.00 degrees. The distinct sites, in fractional coordinates, are Ba at (0.2500, 0.0163, 0.0000), Ba at (0.2500, 0.1854, 0.4353), Ba at (0.2500, 0.7139, 0.8079), Mn at (0.0000, 0.0000, 0.3233), Mn at (0.1057, 0.5481, 0.1088), N at (0.0161, 0.1082, 0.2011) and N at (0.2500, 0.5187, 0.9230).

=====

[22]
Entry from the Alexandria database: an optimized crystal structure of K3HoTh2S6 (PBE).

The value obtained for the raw formation energy is -2010 kJ/mol of formula units. The crystal system is monoclinic.

The space group is C2/m (No. 12) and the conventional cell measures 7.0679, 12.2423 and 7.8229 Å, with angles of 90.00, 107.54 and 90.00 degrees. The distinct sites, in fractional coordinates, are K at (0.0000, 0.0000, 0.0000), K at (0.0000, 0.3329, 0.0000), Ho at (0.0000, 0.5000, 0.5000), Th at (0.0000, 0.1666, 0.5000), S at (0.2337, 0.3361, 0.7096) and S at (0.2423, 0.0000, 0.7097).

=====

[23]
Entry from the Alexandria database: an optimized crystal structure of MgMnCo (PBE).

The formation energy is 238 meV/atom. The crystal system is orthorhombic. The energy relative to the lowest polymorph listed for this composition comes out at 0.51 eV per formula unit.

The space group is Amm2 (No. 38) and the conventional cell measures 2.6997, 13.2560 and 4.4111 Å, with angles of 90.00, 90.00 and 90.00 degrees. The distinct sites, in fractional coordinates, are Mg at (0.0000, 0.1845, 0.0000), Mn at (0.0000, 0.0000, 0.7160), Mn at (0.5000, 0.0000, 0.1218) and Co at (0.5000, 0.1254, 0.4918).

=====

no.,E_tot (eV per atom),total moment (μB/cell),DOS(E_F) (states/eV/cell)
1,-2.7214,0.00,11.0
2,-7.1052,5.00,23.6
3,-7.9191,0.00,5.5
4,-3.0107,0.00,4.7
5,-6.9199,0.96,10.1
6,-3.2028,2.12,5.5
7,-6.3325,0.00,3.5
8,-6.5967,0.00,4.4
9,-5.5569,0.00,5.8
10,-3.4165,0.00,5.9
11,-3.9932,0.00,21.1
12,-4.5658,0.00,4.2
13,-1.7912,0.00,6.0
14,-2.5632,0.00,5.1
15,-5.5329,0.00,14.8
16,-3.6444,0.00,6.1
17,-3.0689,0.00,2.1
18,-6.8746,1.99,1.1
19,-8.7314,0.00,8.1
20,-6.1072,0.00,10.5
21,-6.4884,21.70,23.0
22,-5.6921,0.00,13.9
23,-5.7191,0.00,11.7